(1)
Compound: TePt3
Source: the Alexandria database
Functional: GGA-PBE
Structure: relaxed

```
data_TePt3
_cell_length_a 3.699
_cell_length_b 3.699
_cell_length_c 6.671
_cell_angle_alpha 90.00
_cell_angle_beta 90.00
_cell_angle_gamma 120.00
_space_group_name_H-M_alt 'P 1'
_space_group_IT_number 1
loop_
_space_group_symop_operation_xyz
'x,y,z'
loop_
_atom_site_label
_atom_site_type_symbol
_atom_site_fract_x
_atom_site_fract_y
_atom_site_fract_z
Te1 Te 0.000 0.000 0.000
Pt1 Pt 0.000 0.000 0.500
Pt2 Pt 0.333 0.667 0.251
Pt3 Pt 0.333 0.667 0.749
```

Values from the calculation:
The total magnetization is 0.00 μB/f.u. The calculation puts the formation energy from raw total energies at 147 meV per atom. As for the symmetry: P-6m2, No. 187. The calculation puts the mass density at 14.978 g/cm³.

=====

(2)
Compound: Rb3Ho3BiS8
Source: the Alexandria database
Functional: GGA-PBE
Structure: relaxed

```
data_Rb3Ho3BiS8
_cell_length_a 9.106
_cell_length_b 9.106
_cell_length_c 9.106
_cell_angle_alpha 52.49
_cell_angle_beta 52.49
_cell_angle_gamma 52.49
_space_group_name_H-M_alt 'P 1'
_space_group_IT_number 1
loop_
_space_group_symop_operation_xyz
'x,y,z'
loop_
_atom_site_label
_atom_site_type_symbol
_atom_site_fract_x
_atom_site_fract_y
_atom_site_fract_z
Rb1 Rb 0.000 0.500 0.500
Rb2 Rb 0.500 0.000 0.500
Rb3 Rb 0.500 0.500 0.000
Ho1 Ho 0.000 0.000 0.500
Ho2 Ho 0.000 0.500 0.000
Ho3 Ho 0.500 0.000 0.000
Bi1 Bi 0.500 0.500 0.500
S1 S 0.228 0.731 0.731
S2 S 0.230 0.230 0.230
S3 S 0.269 0.269 0.772
S4 S 0.269 0.772 0.269
S5 S 0.731 0.228 0.731
S6 S 0.731 0.731 0.228
S7 S 0.770 0.770 0.770
S8 S 0.772 0.269 0.269
```

Values from the calculation:
The total magnetization is 0.00 μB/f.u. The calculation puts the formation energy from raw total energies at -1512 meV per atom. As for the symmetry: R-3m, No. 166. The calculation puts the mass density at 4.595 g/cm³.

=====

(3)
Compound: Sr2PmF8
Source: the Alexandria database
Functional: GGA-PBE
Structure: relaxed

```
data_Sr2PmF8
_cell_length_a 7.504
_cell_length_b 7.504
_cell_length_c 5.849
_cell_angle_alpha 110.81
_cell_angle_beta 110.81
_cell_angle_gamma 31.71
_space_group_name_H-M_alt 'P 1'
_space_group_IT_number 1
loop_
_space_group_symop_operation_xyz
'x,y,z'
loop_
_atom_site_label
_atom_site_type_symbol
_atom_site_fract_x
_atom_site_fract_y
_atom_site_fract_z
Sr1 Sr 0.172 0.172 0.188
Sr2 Sr 0.828 0.828 0.812
Pm1 Pm 0.500 0.500 0.500
F1 F 0.020 0.020 0.302
F2 F 0.222 0.222 0.818
F3 F 0.343 0.343 0.538
F4 F 0.401 0.401 0.077
F5 F 0.599 0.599 0.923
F6 F 0.657 0.657 0.462
F7 F 0.778 0.778 0.182
F8 F 0.980 0.980 0.698
```

Values from the calculation:
The total magnetization is 1.03 μB/f.u. The calculation puts the formation energy from raw total energies at -3598 meV per atom. As for the symmetry: C2/m, No. 12. The calculation puts the mass density at 4.873 g/cm³.

=====

(4)
Compound: KBH4
Source: the Alexandria database
Functional: GGA-PBE
Structure: relaxed

```
data_KBH4
_cell_length_a 4.699
_cell_length_b 4.699
_cell_length_c 4.699
_cell_angle_alpha 60.00
_cell_angle_beta 60.00
_cell_angle_gamma 60.00
_space_group_name_H-M_alt 'P 1'
_space_group_IT_number 1
loop_
_space_group_symop_operation_xyz
'x,y,z'
loop_
_atom_site_label
_atom_site_type_symbol
_atom_site_fract_x
_atom_site_fract_y
_atom_site_fract_z
K1 K 0.000 0.000 0.000
B1 B 0.500 0.500 0.500
H1 H 0.393 0.393 0.393
H2 H 0.393 0.393 0.821
H3 H 0.393 0.821 0.393
H4 H 0.821 0.393 0.393
```

Values from the calculation:
The total magnetization is 0.00 μB/f.u. As for the symmetry: F-43m, No. 216. The calculation puts the mass density at 1.221 g/cm³. The total energy comes out at -23.7 eV per cell.

=====

(5)
Compound: Pr2HoGe4Pt3
Source: the Alexandria database
Functional: GGA-PBE
Structure: relaxed

```
data_Pr2HoGe4Pt3
_cell_length_a 4.329
_cell_length_b 4.329
_cell_length_c 11.261
_cell_angle_alpha 90.00
_cell_angle_beta 90.00
_cell_angle_gamma 90.00
_space_group_name_H-M_alt 'P 1'
_space_group_IT_number 1
loop_
_space_group_symop_operation_xyz
'x,y,z'
loop_
_atom_site_label
_atom_site_type_symbol
_atom_site_fract_x
_atom_site_fract_y
_atom_site_fract_z
Pr1 Pr 0.000 0.500 0.232
Pr2 Pr 0.500 0.000 0.768
Ho1 Ho 0.000 0.000 0.500
Ge1 Ge 0.000 0.000 0.000
Ge2 Ge 0.000 0.500 0.662
Ge3 Ge 0.500 0.000 0.338
Ge4 Ge 0.500 0.500 0.000
Pt1 Pt 0.000 0.500 0.883
Pt2 Pt 0.500 0.000 0.117
Pt3 Pt 0.500 0.500 0.500
```

Values from the calculation:
The total magnetization is 0.00 μB/f.u. As for the symmetry: P-4m2, No. 115. For the formation energy from the elements, the calculation gives -918 meV per atom. The calculation puts the mass density at 10.405 g/cm³.

=====

(6)
Compound: Li3VS
Source: the Alexandria database
Functional: GGA-PBE
Structure: relaxed

```
data_Li3VS
_cell_length_a 4.872
_cell_length_b 4.872
_cell_length_c 4.872
_cell_angle_alpha 90.00
_cell_angle_beta 90.00
_cell_angle_gamma 90.00
_space_group_name_H-M_alt 'P 1'
_space_group_IT_number 1
loop_
_space_group_symop_operation_xyz
'x,y,z'
loop_
_atom_site_label
_atom_site_type_symbol
_atom_site_fract_x
_atom_site_fract_y
_atom_site_fract_z
Li1 Li 0.000 0.000 0.500
Li2 Li 0.000 0.500 0.000
Li3 Li 0.500 0.000 0.000
V1 V 0.000 0.000 0.000
S1 S 0.500 0.500 0.500
```

Values from the calculation:
Its relative energy among the computed polymorphs is 845.9 meV/atom. The total magnetization is 4.45 μB/f.u. The calculation puts the formation energy from raw total energies at 868 meV per atom. As for the symmetry: Pm-3m, No. 221. The calculation puts the mass density at 1.491 g/cm³.